1.
Density functional theory data (SCAN) for MgWSe2 at its PBEsol-relaxed geometry.

POSCAR file:
```
MgWSe2
1.0
-0.4883 -2.2708 2.2423
1.0169 -3.0208 -0.5136
8.1915 0.2850 4.3965
Se Mg W
2 1 1
direct
0.1033 0.1033 0.6902
0.8967 0.8967 0.3098
0.0000 0.0000 0.0000
0.5000 0.5000 0.5000
```

space-group type: R-3m, No. 166
crystal system: trigonal

2.
Density functional theory data (SCAN) for MgWSe4 at its PBEsol-relaxed geometry.

POSCAR file:
```
MgWSe4
1.0
-4.9400 -2.1597 -1.2653
-2.6462 -3.1961 3.6676
-4.5657 1.8693 2.5158
W Mg Se
1 1 4
direct
0.7500 0.7500 0.7500
0.0000 0.0000 0.0000
0.3755 0.3755 0.3755
0.8735 0.3755 0.3755
0.3755 0.3755 0.8735
0.3755 0.8735 0.3755
```

space-group type: F-43m, No. 216
crystal system: cubic

3.
Density functional theory data (SCAN) for MgW2Se at its PBEsol-relaxed geometry.

POSCAR file:
```
MgW2Se
1.0
-2.0252 -2.0274 0.3145
1.9691 -1.2670 4.5121
-3.6016 3.5868 -0.0694
W Se Mg
2 1 1
direct
0.0000 0.0000 0.5000
0.0000 0.5000 0.0000
0.5000 0.5000 0.5000
0.5000 0.0000 0.0000
```

space-group type: Cmmm, No. 65
E above lowest polymorph: 1.00 eV/f.u.
crystal system: orthorhombic

| no. | mass density (g/cm3) | formation energy (no corrections) (meV/atom) |
| --- | --- | --- |
| 1 | 7.390 | -143.4 |
| 2 | 7.245 | 1239.5 |
| 3 | 11.839 | 841.7 |